No. 1
Computed, not measured: an optimized crystal structure of Pm4GeSeS2 at the GGA-PBE level of DFT.

a b c (Å): 4.147 7.139 7.215
angles (deg): 70.45 90.00 90.00
Atoms (fractional coordinates):
1 Pm 0.000 0.759 0.739
2 Pm 0.000 0.241 0.261
3 Pm 0.500 0.754 0.254
4 Pm 0.500 0.246 0.746
5 Ge 0.000 0.500 0.500
6 Se 0.500 0.500 0.000
7 S 0.000 0.000 0.000
8 S 0.500 0.000 0.500

Space group: P2/m
Formation energy without anion corrections in eV/atom: -1.74

***

No. 2
Computed, not measured: an optimized crystal structure of Pm6Ge2Se3S at the GGA-PBE level of DFT.

a b c (Å): 4.206 8.432 9.430
angles (deg): 103.44 102.89 90.00
Atoms (fractional coordinates):
1 Pm 0.336 0.910 0.672
2 Pm 0.669 0.577 0.337
3 Pm 0.664 0.090 0.328
4 Pm 0.004 0.243 0.007
5 Pm 0.996 0.757 0.993
6 Pm 0.331 0.423 0.663
7 Ge 0.834 0.669 0.669
8 Ge 0.166 0.331 0.331
9 Se 0.500 0.500 0.000
10 Se 0.834 0.166 0.668
11 Se 0.166 0.834 0.332
12 S 0.500 0.000 0.000

Space group: C2/m
Formation energy without anion corrections in eV/atom: -1.61

***

No. 3
Computed, not measured: an optimized crystal structure of Pm6SnGe2S3 at the GGA-PBE level of DFT.

a b c (Å): 4.181 8.463 9.415
angles (deg): 103.40 102.83 90.00
Atoms (fractional coordinates):
1 Pm 0.328 0.913 0.655
2 Pm 0.668 0.583 0.335
3 Pm 0.672 0.087 0.345
4 Pm 0.999 0.266 0.998
5 Pm 0.001 0.734 0.002
6 Pm 0.332 0.417 0.665
7 Sn 0.500 0.000 0.000
8 Ge 0.834 0.667 0.668
9 Ge 0.166 0.333 0.332
10 S 0.500 0.500 0.000
11 S 0.833 0.169 0.667
12 S 0.167 0.831 0.333

Space group: C2/m
Formation energy without anion corrections in eV/atom: -1.41

***

No. 4
Computed, not measured: an optimized crystal structure of Sr2PmGeS5 at the GGA-PBE level of DFT.

a b c (Å): 4.235 9.149 12.151
angles (deg): 90.00 90.00 103.38
Atoms (fractional coordinates):
1 Sr 0.879 0.758 0.829
2 Sr 0.116 0.232 0.684
3 Sr 0.121 0.242 0.329
4 Sr 0.884 0.768 0.184
5 Pm 0.794 0.587 0.528
6 Pm 0.206 0.413 0.028
7 Ge 0.552 0.103 0.938
8 Ge 0.448 0.897 0.438
9 S 0.357 0.715 0.008
10 S 0.678 0.355 0.869
11 S 0.498 0.995 0.769
12 S 0.296 0.592 0.678
13 S 0.961 0.922 0.521
14 S 0.643 0.285 0.508
15 S 0.322 0.645 0.369
16 S 0.502 0.005 0.269
17 S 0.704 0.408 0.178
18 S 0.039 0.078 0.021

Space group: Cmc2_1
Formation energy without anion corrections in eV/atom: -1.59

***

No. 5
Computed, not measured: an optimized crystal structure of TbPmGeS at the GGA-PBE level of DFT.

a b c (Å): 4.110 4.110 7.154
angles (deg): 73.31 73.31 60.00
Atoms (fractional coordinates):
1 Tb 0.194 0.194 0.419
2 Pm 0.694 0.694 0.917
3 Ge 0.942 0.942 0.174
4 S 0.446 0.446 0.661

Space group: R3m
Formation energy without anion corrections in eV/atom: -1.46

***

No. 6
Computed, not measured: an optimized crystal structure of Pm8GeTe3S3 at the GGA-PBE level of DFT.

a b c (Å): 8.354 8.354 8.619
angles (deg): 118.99 90.00 120.00
Atoms (fractional coordinates):
1 Pm 0.265 0.529 0.294
2 Pm 0.735 0.471 0.706
3 Pm 0.757 0.513 0.281
4 Pm 0.243 0.487 0.719
5 Pm 0.757 0.024 0.281
6 Pm 0.243 0.976 0.719
7 Pm 0.268 0.024 0.281
8 Pm 0.732 0.976 0.719
9 Ge 0.000 0.000 0.500
10 Te 0.000 0.000 0.000
11 Te 0.000 0.500 0.000
12 Te 0.500 0.500 0.000
13 S 0.500 0.000 0.500
14 S 0.500 0.500 0.500
15 S 0.000 0.500 0.500

Space group: R-3m
Formation energy without anion corrections in eV/atom: -1.51

***

No. 7
Computed, not measured: an optimized crystal structure of Pm4GeTe2S at the GGA-PBE level of DFT.

a b c (Å): 4.277 7.353 7.671
angles (deg): 108.95 90.00 90.00
Atoms (fractional coordinates):
1 Pm 0.500 0.238 0.215
2 Pm 0.500 0.762 0.785
3 Pm 0.000 0.259 0.780
4 Pm 0.000 0.741 0.220
5 Ge 0.500 0.500 0.000
6 Te 0.500 0.000 0.500
7 Te 0.000 0.500 0.500
8 S 0.000 0.000 0.000

Space group: P2/m
Formation energy without anion corrections in eV/atom: -1.50

***

No. 8
Computed, not measured: an optimized crystal structure of Pm8Ge3Te4S at the GGA-PBE level of DFT.

a b c (Å): 8.628 8.789 8.628
angles (deg): 119.40 120.00 90.00
Atoms (fractional coordinates):
1 Pm 0.241 0.721 0.980
2 Pm 0.241 0.721 0.483
3 Pm 0.258 0.275 0.516
4 Pm 0.739 0.721 0.980
5 Pm 0.261 0.279 0.020
6 Pm 0.742 0.725 0.484
7 Pm 0.759 0.279 0.517
8 Pm 0.759 0.279 0.020
9 Ge 0.500 0.500 0.000
10 Ge 0.500 0.500 0.500
11 Ge 0.000 0.500 0.500
12 Te 0.500 0.000 0.000
13 Te 0.500 0.000 0.500
14 Te 0.000 0.000 0.000
15 Te 0.000 0.000 0.500
16 S 0.000 0.500 0.000

Space group: R-3m
Formation energy without anion corrections in eV/atom: -1.37

***

No. 9
Computed, not measured: an optimized crystal structure of Pm4GeTeS2 at the GGA-PBE level of DFT.

a b c (Å): 4.199 7.227 7.397
angles (deg): 70.67 90.00 90.00
Atoms (fractional coordinates):
1 Pm 0.000 0.771 0.724
2 Pm 0.000 0.229 0.276
3 Pm 0.500 0.758 0.261
4 Pm 0.500 0.242 0.739
5 Ge 0.000 0.500 0.500
6 Te 0.500 0.500 0.000
7 S 0.000 0.000 0.000
8 S 0.500 0.000 0.500

Space group: P2/m
Formation energy without anion corrections in eV/atom: -1.60

***

No. 10
Computed, not measured: an optimized crystal structure of Pm6GeTe3S2 at the GGA-PBE level of DFT.

a b c (Å): 7.320 7.320 7.657
angles (deg): 99.16 99.16 119.97
Atoms (fractional coordinates):
1 Pm 0.929 0.593 0.785
2 Pm 0.735 0.735 0.212
3 Pm 0.071 0.407 0.215
4 Pm 0.593 0.929 0.785
5 Pm 0.265 0.265 0.788
6 Pm 0.407 0.071 0.215
7 Ge 0.000 0.000 0.000
8 Te 0.165 0.835 0.500
9 Te 0.835 0.165 0.500
10 Te 0.500 0.500 0.500
11 S 0.333 0.667 0.000
12 S 0.667 0.333 0.000

Space group: C2/m
Formation energy without anion corrections in eV/atom: -1.58

***

No. 11
Computed, not measured: an optimized crystal structure of Pm6Ge2TeS3 at the GGA-PBE level of DFT.

a b c (Å): 4.197 8.428 9.351
angles (deg): 102.03 102.97 90.00
Atoms (fractional coordinates):
1 Pm 0.326 0.906 0.651
2 Pm 0.667 0.584 0.334
3 Pm 0.674 0.094 0.349
4 Pm 0.003 0.275 0.005
5 Pm 0.997 0.725 0.995
6 Pm 0.333 0.416 0.666
7 Ge 0.833 0.666 0.666
8 Ge 0.167 0.334 0.334
9 Te 0.500 0.000 0.000
10 S 0.500 0.500 0.000
11 S 0.836 0.165 0.672
12 S 0.164 0.835 0.328

Space group: C2/m
Formation energy without anion corrections in eV/atom: -1.56

***

No. 12
Computed, not measured: an optimized crystal structure of PmThGeS at the GGA-PBE level of DFT.

a b c (Å): 4.219 4.219 7.131
angles (deg): 72.79 72.79 60.00
Atoms (fractional coordinates):
1 Pm 0.944 0.944 0.169
2 Th 0.445 0.445 0.666
3 Ge 0.694 0.694 0.917
4 S 0.194 0.194 0.419

Space group: R3m
Formation energy without anion corrections in eV/atom: -1.39

***

No. 13
Computed, not measured: an optimized crystal structure of PmTl2GeS4 at the GGA-PBE level of DFT.

a b c (Å): 3.978 7.754 6.979
angles (deg): 72.50 90.00 90.00
Atoms (fractional coordinates):
1 Pm 0.000 0.500 0.500
2 Tl 0.000 0.000 0.000
3 Tl 0.500 0.000 0.500
4 Ge 0.500 0.500 0.000
5 S 0.000 0.694 0.784
6 S 0.000 0.306 0.216
7 S 0.500 0.699 0.247
8 S 0.500 0.301 0.753

Space group: P2/m
Formation energy without anion corrections in eV/atom: -0.79

***

No. 14
Computed, not measured: an optimized crystal structure of PmTlGeS3 at the GGA-PBE level of DFT.

a b c (Å): 3.966 10.718 9.026
angles (deg): 107.81 90.00 90.00
Atoms (fractional coordinates):
1 Pm 0.250 0.633 0.185
2 Pm 0.750 0.367 0.815
3 Tl 0.750 0.764 0.817
4 Tl 0.250 0.236 0.183
5 Ge 0.250 0.113 0.532
6 Ge 0.750 0.887 0.468
7 S 0.250 0.752 0.507
8 S 0.750 0.821 0.195
9 S 0.750 0.440 0.149
10 S 0.750 0.248 0.493
11 S 0.250 0.560 0.851
12 S 0.250 0.179 0.805

Space group: P2_1/m
Formation energy without anion corrections in eV/atom: -1.03

***

No. 15
Computed, not measured: an optimized crystal structure of PmTlGeS4 at the GGA-PBE level of DFT.

a b c (Å): 6.629 6.673 8.807
angles (deg): 90.00 106.82 90.00
Atoms (fractional coordinates):
1 Pm 0.770 0.750 0.445
2 Pm 0.230 0.250 0.555
3 Tl 0.735 0.750 0.930
4 Tl 0.265 0.250 0.070
5 Ge 0.225 0.750 0.322
6 Ge 0.775 0.250 0.678
7 S 0.999 0.507 0.713
8 S 0.001 0.007 0.287
9 S 0.001 0.493 0.287
10 S 0.999 0.993 0.713
11 S 0.426 0.750 0.162
12 S 0.574 0.250 0.838
13 S 0.421 0.750 0.575
14 S 0.579 0.250 0.425

Space group: P2_1/m
Formation energy without anion corrections in eV/atom: -1.01

***

No. 16
Computed, not measured: an optimized crystal structure of PmGe2Sb at the GGA-PBE level of DFT.

a b c (Å): 4.329 4.644 4.644
angles (deg): 90.00 90.00 90.00
Atoms (fractional coordinates):
1 Sb 0.500 0.000 0.000
2 Ge 0.000 0.000 0.500
3 Ge 0.000 0.500 0.000
4 Pm 0.500 0.500 0.500

Space group: P4/mmm
Energy above the lowest structure with this stoichiometry in meV per atom: 0
Formation energy without anion corrections in eV/atom: -0.41

***

No. 17
Computed, not measured: an optimized crystal structure of PmGe2Sb at the GGA-PBE level of DFT.

a b c (Å): 3.902 3.902 6.194
angles (deg): 90.00 90.00 90.00
Atoms (fractional coordinates):
1 Sb 0.500 0.500 0.000
2 Ge 0.000 0.000 0.772
3 Ge 0.000 0.000 0.228
4 Pm 0.500 0.500 0.500

Space group: P4/mmm
Energy above the lowest structure with this stoichiometry in meV per atom: 128
Formation energy without anion corrections in eV/atom: -0.29

***

No. 18
Computed, not measured: an optimized crystal structure of PmGeSb2 at the GGA-PBE level of DFT.

a b c (Å): 4.602 4.722 4.722
angles (deg): 90.00 90.00 90.00
Atoms (fractional coordinates):
1 Sb 0.000 0.000 0.500
2 Sb 0.000 0.500 0.000
3 Ge 0.500 0.000 0.000
4 Pm 0.500 0.500 0.500

Space group: P4/mmm
Energy above the lowest structure with this stoichiometry in meV per atom: 8
Formation energy without anion corrections in eV/atom: -0.43

***

No. 19
Computed, not measured: an optimized crystal structure of PmGeSb2 at the GGA-PBE level of DFT.

a b c (Å): 5.351 5.351 5.351
angles (deg): 60.00 60.00 60.00
Atoms (fractional coordinates):
1 Sb 0.250 0.250 0.250
2 Sb 0.750 0.750 0.750
3 Ge 0.500 0.500 0.500
4 Pm 0.000 0.000 0.000

Space group: Fm-3m
Energy above the lowest structure with this stoichiometry in meV per atom: 200
Formation energy without anion corrections in eV/atom: -0.23

***

No. 20
Computed, not measured: an optimized crystal structure of Pm10Ge3Sb3 at the GGA-PBE level of DFT.

a b c (Å): 6.537 9.048 9.048
angles (deg): 120.00 90.00 90.00
Atoms (fractional coordinates):
1 Pm 0.257 0.667 0.333
2 Pm 0.257 0.333 0.667
3 Pm 0.743 0.333 0.667
4 Pm 0.743 0.667 0.333
5 Pm 0.500 0.000 0.754
6 Pm 0.500 0.754 0.000
7 Pm 0.500 0.246 0.246
8 Pm 0.000 0.000 0.245
9 Pm 0.000 0.245 0.000
10 Pm 0.000 0.755 0.755
11 Ge 0.500 0.000 0.387
12 Ge 0.500 0.387 0.000
13 Ge 0.500 0.613 0.613
14 Sb 0.000 0.000 0.608
15 Sb 0.000 0.608 0.000
16 Sb 0.000 0.392 0.392

Space group: P-62m
Formation energy without anion corrections in eV/atom: -0.84